(1)
12
Lattice="-0.213 -5.781 -1.689 -1.139 1.511 5.721 -8.156 0.839 -1.845" Properties=species:S:1:pos:R:3 comment="Pr3GaGe6Pt2, relaxed, DFT GGA-PBE" crystal_system=trigonal n_ef_per_ev_cell=2.7 delta_e_f_mev_per_atom=-388 pbc="T T T"
Ge -3.287 -2.130 3.082
Ga -4.078 0.420 -0.923
Pr -5.968 -0.391 2.089
Ge -6.220 -1.301 -0.895
Pt -0.968 -0.905 3.220
Ge -2.706 -0.295 1.349
Ge -6.312 -3.785 -1.621
Pt -8.540 -2.525 -1.033
Pr 0.000 0.000 0.000
Ge -6.801 -3.136 0.838
Pr -3.540 -3.039 0.098
Ge -3.196 0.355 3.807



(2)
5
Lattice="-1.009 -4.036 -0.924 -0.865 -0.725 4.110 -7.069 -0.623 0.612" Properties=species:S:1:pos:R:3 comment="YBi2Rh2, relaxed, DFT GGA-PBE" crystal_system=tetragonal n_ef_per_ev_cell=5.7 delta_e_f_mev_per_atom=-232 pbc="T T T"
Bi -6.511 -3.432 2.444
Y 0.000 0.000 0.000
Rh -4.508 -3.520 0.640
Rh -4.435 -1.864 3.158
Bi -2.432 -1.952 1.354



Values for calculated total energy, eV/atom, ordered as above
-5.150 -6.018
Values for total magnetic moment, μB/f.u., ordered as above
0.00 0.00